The following is a DFT calculation (PBE-GGA) of a relaxed Dy2Al12Au7 crystal.

The structure in POSCAR format:
```
Dy2Al12Au7
1.0
10.521 0.000 0.000
-5.261 9.112 0.000
0.000 0.000 4.055
Dy Al Au
2 12 7
direct
0.333 0.667 0.266 Dy
0.667 0.333 0.734 Dy
0.049 0.435 0.749 Al
0.111 0.266 0.259 Al
0.155 0.889 0.259 Al
0.266 0.155 0.741 Al
0.385 0.951 0.749 Al
0.435 0.385 0.251 Al
0.565 0.615 0.749 Al
0.615 0.049 0.251 Al
0.734 0.845 0.259 Al
0.845 0.111 0.741 Al
0.889 0.734 0.741 Al
0.951 0.565 0.251 Al
0.000 0.000 0.500 Au
0.128 0.712 0.762 Au
0.288 0.416 0.762 Au
0.416 0.128 0.238 Au
0.584 0.872 0.762 Au
0.712 0.584 0.238 Au
0.872 0.288 0.238 Au
```

Output
size of the total moment: 0.00 μB per formula unit
energy of formation: -505 meV/atom
raw total energy: -4.174 eV per atom
symmetry: P-3 (147)